No. 1
VASP calculation (PBE) on a relaxed Rb2Ga2Bi crystal.

## Properties
VASP energy ... -2.4661 eV per atom
Formation energy ... -0.09 eV per atom

Lattice parameters (Å, degrees): 7.6941 7.6941 5.9781 90.00 90.00 90.00
Closest atoms and distances in Å follow each position.
Positions (direct):
Rb1 0.1920 0.3080 0.0000  6 Ga 3.64-3.86, 4 Rb 3.95
Rb2 0.3080 0.8080 0.0000  6 Ga 3.64-3.86, 4 Rb 3.95
Rb3 0.6920 0.1920 0.0000  6 Ga 3.64-3.86, 4 Rb 3.95
Rb4 0.8080 0.6920 0.0000  6 Ga 3.64-3.86, 4 Rb 3.95
Ga1 0.1171 0.6171 0.5000  1 Ga 2.55
Ga2 0.3829 0.1171 0.5000  1 Ga 2.55
Ga3 0.6171 0.8829 0.5000  1 Ga 2.55
Ga4 0.8829 0.3829 0.5000  1 Ga 2.55
Bi1 0.0000 0.0000 0.5000  4 Ga 3.08
Bi2 0.5000 0.5000 0.5000  4 Ga 3.08

No. 2
VASP calculation (PBE) on a relaxed TaTe2AuN crystal.

## Properties
VASP energy ... -4.5905 eV per atom
Formation energy from raw total energies ... 1.357 eV/atom

Lattice parameters (Å, degrees): 5.5303 5.5303 3.8321 90.00 90.00 90.00
Closest atoms and distances in Å follow each position.
Positions (direct):
Ta1 0.0000 0.0000 0.0000  8 Te 3.36
Te1 0.0000 0.5000 0.5000  2 Au 2.77
Te2 0.5000 0.0000 0.5000  2 Au 2.77
Au1 0.5000 0.5000 0.5000  2 N 1.92
N1 0.5000 0.5000 0.0000  2 Au 1.92

No. 3
VASP calculation (PBE) on a relaxed CdInAgSn crystal.

## Properties
VASP energy ... -2.5224 eV per atom
Formation energy ... 0.10 eV per atom

Lattice parameters (Å, degrees): 5.1357 5.1357 5.1357 60.00 60.00 60.00
Closest atoms and distances in Å follow each position.
Positions (direct):
Cd1 0.0000 0.0000 0.0000  4 In 3.14, 4 Sn 3.14
In1 0.7500 0.7500 0.7500  4 Ag 3.14, 4 Cd 3.14
Ag1 0.5000 0.5000 0.5000  4 In 3.14, 4 Sn 3.14
Sn1 0.2500 0.2500 0.2500  4 Cd 3.14, 4 Ag 3.14